1.
InBiS2N: relaxed, PBE.

Cell lengths 5.284, 5.284, 4.293 Å; angles 90.00, 90.00, 90.00 degrees
Element x y z (fractional)
In (0.000, 0.000, 0.000)
Bi (0.500, 0.500, 0.500)
S (0.000, 0.500, 0.500)
S (0.500, 0.000, 0.500)
N (0.500, 0.500, 0.000)

- ΔE to the lowest computed polymorph: 68 kJ/mol of formula units
- Symmetry: P4/mmm (123)
- Volume: 119.9 Å³/f.u.
- Formation energy (no corrections): 0.796 eV per atom

=====

2.
Nd2Zn5Ag: relaxed, PBE.

Cell lengths 8.592, 8.592, 9.035 Å; angles 90.00, 90.00, 150.32 degrees
Element x y z (fractional)
Nd (0.000, 0.000, 0.000)
Nd (0.000, 0.000, 0.500)
Nd (0.201, 0.799, 0.750)
Nd (0.799, 0.201, 0.250)
Zn (0.185, 0.815, 0.108)
Zn (0.185, 0.815, 0.392)
Zn (0.346, 0.654, 0.020)
Zn (0.346, 0.654, 0.480)
Zn (0.396, 0.604, 0.750)
Zn (0.604, 0.396, 0.250)
Zn (0.654, 0.346, 0.520)
Zn (0.654, 0.346, 0.980)
Zn (0.815, 0.185, 0.608)
Zn (0.815, 0.185, 0.892)
Ag (0.447, 0.553, 0.250)
Ag (0.553, 0.447, 0.750)

- Symmetry: Cmcm (63)
- Volume: 165.1 Å³/f.u.
- Formation enthalpy at 0 K: -0.31 eV per atom

=====

3.
YMo2Rh: relaxed, PBE.

Cell lengths 5.617, 5.617, 4.345 Å; angles 112.69, 112.69, 35.01 degrees
Element x y z (fractional)
Y (0.000, 0.000, 0.000)
Mo (0.244, 0.244, 0.743)
Mo (0.756, 0.756, 0.257)
Rh (0.500, 0.500, 0.500)

- ΔE to the lowest computed polymorph: 47 kJ/mol of formula units
- Symmetry: C2/m (12)
- Volume: 71.9 Å³/f.u.
- Formation enthalpy at 0 K: 0.09 eV per atom

=====

4.
AcLa4DyTm2: relaxed, PBE.

Cell lengths 6.352, 6.352, 10.505 Å; angles 114.49, 114.49, 48.76 degrees
Element x y z (fractional)
Ac (0.000, 0.000, 0.000)
La (0.247, 0.247, 0.869)
La (0.251, 0.251, 0.378)
La (0.749, 0.749, 0.622)
La (0.753, 0.753, 0.131)
Dy (0.000, 0.000, 0.500)
Tm (0.499, 0.499, 0.256)
Tm (0.501, 0.501, 0.744)

- Symmetry: C2/m (12)
- Volume: 283.8 Å³/f.u.
- Formation enthalpy at 0 K: 0.04 eV per atom

=====

5.
AlNiW: relaxed, PBE.

Cell lengths 4.026, 4.026, 4.026 Å; angles 60.00, 60.00, 60.00 degrees
Element x y z (fractional)
Al (0.000, 0.000, 0.000)
Ni (0.750, 0.750, 0.750)
W (0.500, 0.500, 0.500)

- ΔE to the lowest computed polymorph: 104 kJ/mol of formula units
- Symmetry: F-43m (216)
- Volume: 46.1 Å³/f.u.
- Formation enthalpy at 0 K: 0.15 eV per atom

=====

6.
Ta4TlOs: relaxed, PBE.

Cell lengths 5.416, 5.416, 5.416 Å; angles 60.00, 60.00, 60.00 degrees
Element x y z (fractional)
Ta (0.125, 0.125, 0.125)
Ta (0.125, 0.125, 0.626)
Ta (0.125, 0.626, 0.125)
Ta (0.626, 0.125, 0.125)
Tl (0.750, 0.750, 0.750)
Os (0.500, 0.500, 0.500)

- Symmetry: F-43m (216)
- Volume: 112.3 Å³/f.u.
- Formation enthalpy at 0 K: 0.56 eV per atom

=====

7.
Ce3GaCo2: relaxed, PBE.

Cell lengths 8.021, 8.021, 6.862 Å; angles 96.87, 96.87, 32.52 degrees
Element x y z (fractional)
Ce (0.093, 0.093, 0.144)
Ce (0.219, 0.219, 0.647)
Ce (0.406, 0.406, 0.120)
Ce (0.594, 0.594, 0.880)
Ce (0.781, 0.781, 0.353)
Ce (0.907, 0.907, 0.856)
Ga (0.422, 0.422, 0.562)
Ga (0.578, 0.578, 0.438)
Co (0.049, 0.049, 0.647)
Co (0.235, 0.235, 0.094)
Co (0.765, 0.765, 0.906)
Co (0.951, 0.951, 0.353)

- Symmetry: C2/m (12)
- Volume: 117.7 Å³/f.u.
- Formation enthalpy at 0 K: -0.29 eV per atom

=====

8.
CaTlTe4Pb2: relaxed, PBE.

Cell lengths 7.975, 4.580, 8.029 Å; angles 90.00, 109.87, 90.00 degrees
Element x y z (fractional)
Ca (0.000, 0.000, 0.000)
Tl (0.000, 0.500, 0.500)
Te (0.246, 0.500, 0.242)
Te (0.249, 0.000, 0.754)
Te (0.751, 0.000, 0.246)
Te (0.754, 0.500, 0.758)
Pb (0.500, 0.000, 0.500)
Pb (0.500, 0.500, 0.000)

- Symmetry: P2/m (10)
- Volume: 275.8 Å³/f.u.
- Formation energy (no corrections): -0.624 eV per atom

=====

9.
Si5Cl: relaxed, PBE.

Cell lengths 3.325, 9.864, 9.864 Å; angles 21.71, 90.00, 90.00 degrees
Element x y z (fractional)
Si (0.000, 0.000, 0.000)
Si (0.000, 0.245, 0.245)
Si (0.000, 0.584, 0.584)
Si (0.500, 0.098, 0.098)
Si (0.500, 0.690, 0.690)
Cl (0.500, 0.339, 0.339)

- ΔE to the lowest computed polymorph: 55 kJ/mol of formula units
- Symmetry: Amm2 (38)
- Volume: 119.6 Å³/f.u.
- Formation energy (no corrections): 0.327 eV per atom

=====

10.
Sm2Dy2Al: relaxed, PBE.

Cell lengths 9.280, 9.280, 9.280 Å; angles 153.38, 153.38, 37.99 degrees
Element x y z (fractional)
Sm (0.250, 0.750, 0.500)
Sm (0.750, 0.250, 0.500)
Dy (0.086, 0.086, 0.000)
Dy (0.914, 0.914, 0.000)
Al (0.500, 0.500, 0.000)

- ΔE to the lowest computed polymorph: 204 kJ/mol of formula units
- Symmetry: I4/mmm (139)
- Volume: 160.1 Å³/f.u.
- Formation enthalpy at 0 K: 0.43 eV per atom

=====

11.
LaCe2HoBi5: relaxed, PBE.

Cell lengths 5.427, 5.427, 12.118 Å; angles 90.00, 90.00, 90.00 degrees
Element x y z (fractional)
La (0.000, 0.000, 0.000)
Ce (0.500, 0.500, 0.280)
Ce (0.500, 0.500, 0.720)
Ho (0.000, 0.000, 0.500)
Bi (0.000, 0.000, 0.252)
Bi (0.000, 0.000, 0.748)
Bi (0.000, 0.500, 0.500)
Bi (0.500, 0.000, 0.500)
Bi (0.500, 0.500, 0.000)

- Symmetry: P4/mmm (123)
- Volume: 356.9 Å³/f.u.
- Formation enthalpy at 0 K: -0.18 eV per atom

=====

12.
Sm6AgRh2I3: relaxed, PBE.

Cell lengths 7.292, 7.292, 8.407 Å; angles 98.30, 98.30, 120.00 degrees
Element x y z (fractional)
Sm (0.081, 0.437, 0.811)
Sm (0.207, 0.207, 0.188)
Sm (0.437, 0.081, 0.811)
Sm (0.563, 0.919, 0.189)
Sm (0.793, 0.793, 0.812)
Sm (0.919, 0.563, 0.189)
Ag (0.500, 0.500, 0.000)
Rh (0.167, 0.833, 0.000)
Rh (0.833, 0.167, 0.000)
I (0.000, 0.000, 0.500)
I (0.335, 0.665, 0.500)
I (0.665, 0.335, 0.500)

- Symmetry: C2/m (12)
- Volume: 370.6 Å³/f.u.
- Formation energy (no corrections): -0.805 eV per atom

=====

What is the formula in the twelfth record?
Sm6AgRh2I3

=====

Among the records above, which one has the highest volume?
Sm6AgRh2I3